w:
A geometry-optimized Al2PPb structure, computed with PBEsol.

The structure in CIF format:
```
data_Al2PPb
_space_group_name_H-M_alt 'R -3 m'
_space_group_IT_number 166
_space_group_name_Hall '-R 3 2"'
_cell_length_a 3.6095
_cell_length_b 3.6095
_cell_length_c 21.4978
_cell_angle_alpha 90.00
_cell_angle_beta 90.00
_cell_angle_gamma 120.00
loop_
_atom_site_label
_atom_site_type_symbol
_atom_site_fract_x
_atom_site_fract_y
_atom_site_fract_z
_atom_site_occupancy
Al1 Al 0.0000 0.0000 0.2308 1
P1 P 0.0000 0.0000 0.5000 1
Pb1 Pb 0.0000 0.0000 0.0000 1
```

x:
A geometry-optimized Al2PPb structure, computed with PBEsol.

The structure in CIF format:
```
data_Al2PPb
_space_group_name_H-M_alt 'P m m 2'
_space_group_IT_number 25
_cell_length_a 3.745
_cell_length_b 4.016
_cell_length_c 6.008
_cell_angle_alpha 90.00
_cell_angle_beta 90.00
_cell_angle_gamma 90.00
loop_
_space_group_symop_operation_xyz
'x,y,z'
'-x,-y,z'
'-x,y,z'
'x,-y,z'
loop_
_atom_site_label
_atom_site_type_symbol
_atom_site_fract_x
_atom_site_fract_y
_atom_site_fract_z
_atom_site_occupancy
Al1 Al 0.000 0.000 0.000 1
Al2 Al 0.500 0.500 0.028 1
P1 P 0.000 0.500 0.763 1
Pb1 Pb 0.500 0.000 0.391 1
```

Stability summary - winner: w; margin: 131 meV per atom.

w:
A geometry-optimized AlRe2P structure, computed with PBEsol.

The structure in CIF format:
```
data_AlRe2P
_space_group_name_H-M_alt 'P 4 m m'
_space_group_IT_number 99
_cell_length_a 3.071
_cell_length_b 3.071
_cell_length_c 5.701
_cell_angle_alpha 90.00
_cell_angle_beta 90.00
_cell_angle_gamma 90.00
loop_
_space_group_symop_operation_xyz
'x,y,z'
'-y,x,z'
'-x,-y,z'
'y,-x,z'
'-x,y,z'
'y,x,z'
'x,-y,z'
'-y,-x,z'
loop_
_atom_site_label
_atom_site_type_symbol
_atom_site_fract_x
_atom_site_fract_y
_atom_site_fract_z
_atom_site_occupancy
Al1 Al 0.000 0.000 0.000 1
Re1 Re 0.000 0.000 0.461 1
Re2 Re 0.500 0.500 0.774 1
P1 P 0.500 0.500 0.251 1
```

x:
A geometry-optimized AlRe2P structure, computed with PBEsol.

The structure in CIF format:
```
data_AlRe2P
_space_group_name_H-M_alt 'R -3 m'
_space_group_IT_number 166
_space_group_name_Hall '-R 3 2"'
_cell_length_a 2.8375
_cell_length_b 2.8375
_cell_length_c 23.9462
_cell_angle_alpha 90.00
_cell_angle_beta 90.00
_cell_angle_gamma 120.00
loop_
_atom_site_label
_atom_site_type_symbol
_atom_site_fract_x
_atom_site_fract_y
_atom_site_fract_z
_atom_site_occupancy
Al1 Al 0.0000 0.0000 0.0000 1
Re1 Re 0.0000 0.0000 0.2421 1
P1 P 0.0000 0.0000 0.5000 1
```

Stability summary - winner: w; margin: 154 meV per atom.

w:
A geometry-optimized AlPRu2 structure, computed with PBEsol.

The structure in CIF format:
```
data_AlPRu2
_space_group_name_H-M_alt 'I m m 2'
_space_group_IT_number 44
_cell_length_a 2.887
_cell_length_b 3.661
_cell_length_c 10.277
_cell_angle_alpha 90.00
_cell_angle_beta 90.00
_cell_angle_gamma 90.00
loop_
_space_group_symop_operation_xyz
'x,y,z'
'-x,-y,z'
'-x,y,z'
'x,-y,z'
'x+1/2,y+1/2,z+1/2'
'-x+1/2,-y+1/2,z+1/2'
'-x+1/2,y+1/2,z+1/2'
'x+1/2,-y+1/2,z+1/2'
loop_
_atom_site_label
_atom_site_type_symbol
_atom_site_fract_x
_atom_site_fract_y
_atom_site_fract_z
_atom_site_occupancy
Al1 Al 0.000 0.000 0.000 1
P1 P 0.000 0.500 0.741 1
Ru1 Ru 0.000 0.000 0.415 1
Ru2 Ru 0.000 0.500 0.176 1
```

x:
A geometry-optimized AlPRu2 structure, computed with PBEsol.

The structure in CIF format:
```
data_AlPRu2
_space_group_name_H-M_alt 'P 1 2/m 1'
_space_group_IT_number 10
_cell_length_a 4.145
_cell_length_b 2.862
_cell_length_c 4.835
_cell_angle_alpha 90.00
_cell_angle_beta 114.37
_cell_angle_gamma 90.00
loop_
_space_group_symop_operation_xyz
'x,y,z'
'-x,-y,-z'
'-x,y,-z'
'x,-y,z'
loop_
_atom_site_label
_atom_site_type_symbol
_atom_site_fract_x
_atom_site_fract_y
_atom_site_fract_z
_atom_site_occupancy
Al1 Al 0.000 0.000 0.000 1
P1 P 0.000 0.500 0.500 1
Ru1 Ru 0.500 0.000 0.500 1
Ru2 Ru 0.500 0.500 0.000 1
```

Stability summary - winner: w; margin: 104 meV per atom.

w:
A geometry-optimized Al2SbP structure, computed with PBEsol.

The structure in CIF format:
```
data_Al2SbP
_space_group_name_H-M_alt 'C 1 2/m 1'
_space_group_IT_number 12
_cell_length_a 5.567
_cell_length_b 7.620
_cell_length_c 4.663
_cell_angle_alpha 90.00
_cell_angle_beta 125.12
_cell_angle_gamma 90.00
loop_
_space_group_symop_operation_xyz
'x,y,z'
'-x,-y,-z'
'-x,y,-z'
'x,-y,z'
'x+1/2,y+1/2,z'
'-x+1/2,-y+1/2,-z'
'-x+1/2,y+1/2,-z'
'x+1/2,-y+1/2,z'
loop_
_atom_site_label
_atom_site_type_symbol
_atom_site_fract_x
_atom_site_fract_y
_atom_site_fract_z
_atom_site_occupancy
Al1 Al 0.250 0.250 0.000 1
Sb1 Sb 0.000 0.000 0.500 1
P1 P 0.000 0.500 0.500 1
```

x:
A geometry-optimized Al2SbP structure, computed with PBEsol.

The structure in CIF format:
```
data_Al2SbP
_space_group_name_H-M_alt 'C m m m'
_space_group_IT_number 65
_space_group_name_Hall '-C 2 2'
_cell_length_a 3.859
_cell_length_b 5.293
_cell_length_c 7.420
_cell_angle_alpha 90.00
_cell_angle_beta 90.00
_cell_angle_gamma 90.00
loop_
_atom_site_label
_atom_site_type_symbol
_atom_site_fract_x
_atom_site_fract_y
_atom_site_fract_z
_atom_site_occupancy
Al1 Al 0.000 0.000 0.204 1
Sb1 Sb 0.000 0.500 0.500 1
P1 P 0.000 0.500 0.000 1
```

y:
A geometry-optimized Al2SbP structure, computed with PBEsol.

The structure in CIF format:
```
data_Al2SbP
_space_group_name_H-M_alt 'P 4 m m'
_space_group_IT_number 99
_cell_length_a 3.587
_cell_length_b 3.587
_cell_length_c 6.506
_cell_angle_alpha 90.00
_cell_angle_beta 90.00
_cell_angle_gamma 90.00
loop_
_space_group_symop_operation_xyz
'x,y,z'
'-y,x,z'
'-x,-y,z'
'y,-x,z'
'-x,y,z'
'y,x,z'
'x,-y,z'
'-y,-x,z'
loop_
_atom_site_label
_atom_site_type_symbol
_atom_site_fract_x
_atom_site_fract_y
_atom_site_fract_z
_atom_site_occupancy
Al1 Al 0.000 0.000 0.000 1
Al2 Al 0.500 0.500 0.404 1
Sb1 Sb 0.500 0.500 0.830 1
P1 P 0.000 0.000 0.359 1
```

Stability summary - winner: y; margin: 217 meV per atom.

w:
A geometry-optimized Al2SbP structure, computed with PBEsol.

The structure in CIF format:
```
data_Al2SbP
_space_group_name_H-M_alt 'C 1 m 1'
_space_group_IT_number 8
_cell_length_a 7.267
_cell_length_b 3.494
_cell_length_c 6.629
_cell_angle_alpha 90.00
_cell_angle_beta 90.06
_cell_angle_gamma 90.00
loop_
_space_group_symop_operation_xyz
'x,y,z'
'x,-y,z'
'x+1/2,y+1/2,z'
'x+1/2,-y+1/2,z'
loop_
_atom_site_label
_atom_site_type_symbol
_atom_site_fract_x
_atom_site_fract_y
_atom_site_fract_z
_atom_site_occupancy
Al1 Al 0.000 0.000 0.000 1
Al2 Al 0.174 0.000 0.576 1
Sb1 Sb 0.207 0.500 0.238 1
P1 P 0.477 0.000 0.735 1
```

x:
A geometry-optimized Al2SbP structure, computed with PBEsol.

The structure in CIF format:
```
data_Al2SbP
_space_group_name_H-M_alt 'I -4 m 2'
_space_group_IT_number 119
_space_group_name_Hall 'I -4 -2'
_cell_length_a 3.809
_cell_length_b 3.809
_cell_length_c 10.578
_cell_angle_alpha 90.00
_cell_angle_beta 90.00
_cell_angle_gamma 90.00
loop_
_atom_site_label
_atom_site_type_symbol
_atom_site_fract_x
_atom_site_fract_y
_atom_site_fract_z
_atom_site_occupancy
Al1 Al 0.000 0.000 0.000 1
Al2 Al 0.000 0.500 0.250 1
Sb1 Sb 0.000 0.500 0.750 1
P1 P 0.000 0.000 0.500 1
```

Stability summary - winner: w; margin: 360 meV per atom.

w:
A geometry-optimized Al2SbP structure, computed with PBEsol.

The structure in CIF format:
```
data_Al2SbP
_space_group_name_H-M_alt 'C 1 2/m 1'
_space_group_IT_number 12
_cell_length_a 6.372
_cell_length_b 3.657
_cell_length_c 6.955
_cell_angle_alpha 90.00
_cell_angle_beta 107.53
_cell_angle_gamma 90.00
loop_
_space_group_symop_operation_xyz
'x,y,z'
'-x,-y,-z'
'-x,y,-z'
'x,-y,z'
'x+1/2,y+1/2,z'
'-x+1/2,-y+1/2,-z'
'-x+1/2,y+1/2,-z'
'x+1/2,-y+1/2,z'
loop_
_atom_site_label
_atom_site_type_symbol
_atom_site_fract_x
_atom_site_fract_y
_atom_site_fract_z
_atom_site_occupancy
Al1 Al 0.236 0.000 0.207 1
Sb1 Sb 0.000 0.000 0.500 1
P1 P 0.000 0.500 0.000 1
```

x:
A geometry-optimized Al2SbP structure, computed with PBEsol.

The structure in CIF format:
```
data_Al2SbP
_space_group_name_H-M_alt 'P 4/m m m'
_space_group_IT_number 123
_space_group_name_Hall '-P 4 2'
_cell_length_a 3.224
_cell_length_b 3.224
_cell_length_c 7.018
_cell_angle_alpha 90.00
_cell_angle_beta 90.00
_cell_angle_gamma 90.00
loop_
_atom_site_label
_atom_site_type_symbol
_atom_site_fract_x
_atom_site_fract_y
_atom_site_fract_z
_atom_site_occupancy
Al1 Al 0.000 0.000 0.194 1
Sb1 Sb 0.500 0.500 0.500 1
P1 P 0.500 0.500 0.000 1
```

Stability summary - winner: w; margin: 229 meV per atom.